1.
The following is a DFT calculation (PBE) of a geometry-optimized Rb2SrReF structure.

Space-group type   No. 123
Fermi-level density of states   4.2 states/eV/f.u.
Uncorrected formation energy   0.89 eV/atom

Cell lengths 7.4168, 5.2923, 7.4168 Å; angles 90.00, 90.00, 90.00 degrees
Element x y z (fractional)
1 F 0.5000 0.5000 0.5000
2 Re 0.0000 0.5000 0.0000
3 Rb 0.0000 0.0000 0.5000
4 Rb 0.5000 0.0000 0.0000
5 Sr 0.0000 0.0000 0.0000

2.
The following is a DFT calculation (PBE) of a geometry-optimized Y2MgW structure.

VASP energy   -6.34 eV/atom
Space-group type   No. 12
Fermi-level density of states   4.1 states/eV/f.u.

Cell lengths 5.2612, 5.2612, 6.2507 Å; angles 83.12, 83.12, 34.08 degrees
Element x y z (fractional)
1 Y 0.5079 0.5079 0.4824
2 Y 0.9921 0.9921 0.0176
3 Mg 0.7500 0.7500 0.7500
4 W 0.2500 0.2500 0.2500

3.
The following is a DFT calculation (PBE) of a geometry-optimized AgBi2Pd2 structure.

VASP energy   -4.16 eV/atom
Space-group type   No. 139
Fermi-level density of states   2.0 states/eV/f.u.

Cell lengths 5.4215, 5.4215, 5.5837 Å; angles 60.96, 60.96, 90.00 degrees
Element x y z (fractional)
1 Bi 0.2500 0.7500 0.5000
2 Bi 0.7500 0.2500 0.5000
3 Pd 0.6590 0.6590 0.6820
4 Pd 0.3410 0.3410 0.3180
5 Ag 0.0000 0.0000 0.0000

4.
The following is a DFT calculation (PBE) of a geometry-optimized Sr3Li2Si2 structure.

Space-group type   No. 57
Uncorrected formation energy   -0.32 eV/atom

Cell lengths 6.0347, 8.5237, 14.6780 Å; angles 90.00, 90.00, 90.00 degrees
Element x y z (fractional)
1 Si 0.6589 0.7500 0.5000
2 Si 0.8233 0.0978 0.7500
3 Si 0.3411 0.2500 0.0000
4 Si 0.1767 0.9022 0.2500
5 Si 0.3411 0.2500 0.5000
6 Si 0.6589 0.7500 0.0000
7 Si 0.1767 0.5978 0.7500
8 Si 0.8233 0.4022 0.2500
9 Sr 0.1115 0.6157 0.1087
10 Sr 0.8885 0.3843 0.6087
11 Sr 0.1115 0.6157 0.3913
12 Sr 0.8885 0.1157 0.3913
13 Sr 0.8885 0.1157 0.1087
14 Sr 0.8885 0.3843 0.8913
15 Sr 0.3440 0.2449 0.7500
16 Sr 0.1115 0.8843 0.8913
17 Sr 0.6560 0.7449 0.7500
18 Sr 0.6560 0.7551 0.2500
19 Sr 0.1115 0.8843 0.6087
20 Sr 0.3440 0.2551 0.2500
21 Li 0.3933 0.9627 0.4161
22 Li 0.6067 0.4627 0.4161
23 Li 0.3933 0.5373 0.9161
24 Li 0.3933 0.5373 0.5839
25 Li 0.6067 0.4627 0.0839
26 Li 0.6067 0.0373 0.5839
27 Li 0.6067 0.0373 0.9161
28 Li 0.3933 0.9627 0.0839

5.
The following is a DFT calculation (PBE) of a geometry-optimized Cs2CdAs structure.

VASP energy   -2.10 eV/atom
Space-group type   No. 14
Fermi-level density of states   1.6 states/eV/f.u.

Cell lengths 7.9942, 9.0395, 13.2572 Å; angles 109.33, 90.00, 90.00 degrees
Element x y z (fractional)
1 Cd 0.6219 0.3327 0.4630
2 Cd 0.8781 0.8327 0.4630
3 Cd 0.3781 0.6673 0.5370
4 Cd 0.1219 0.1673 0.5370
5 As 0.1523 0.8996 0.5893
6 As 0.3477 0.3996 0.5893
7 As 0.6523 0.6004 0.4107
8 As 0.8477 0.1004 0.4107
9 Cs 0.0680 0.3957 0.3336
10 Cs 0.9320 0.6043 0.6664
11 Cs 0.9199 0.8168 0.1367
12 Cs 0.5801 0.3168 0.1367
13 Cs 0.0801 0.1832 0.8633
14 Cs 0.5680 0.1043 0.6664
15 Cs 0.4199 0.6832 0.8633
16 Cs 0.4320 0.8957 0.3336

6.
The following is a DFT calculation (PBE) of a geometry-optimized NdH3Pd6 structure.

VASP energy   -4.95 eV/atom
Space-group type   No. 1
Fermi-level density of states   1.8 states/eV/f.u.

Cell lengths 5.6418, 5.7014, 5.7457 Å; angles 100.02, 122.22, 107.68 degrees
Element x y z (fractional)
1 H 0.1699 0.1627 0.3177
2 H 0.8171 0.4573 0.4376
3 H 0.3713 0.5789 0.9106
4 Pd 0.9643 0.4350 0.7922
5 Pd 0.4104 0.3207 0.7245
6 Pd 0.3621 0.8392 0.7728
7 Pd 0.9467 0.8071 0.1672
8 Pd 0.3749 0.2288 0.1663
9 Pd 0.9225 0.3282 0.2225
10 Nd 0.6607 0.8421 0.4885

7.
The following is a DFT calculation (PBE) of a geometry-optimized La2HgRu structure.

VASP energy   -5.22 eV/atom
Space-group type   No. 12
Fermi-level density of states   3.3 states/eV/f.u.

Cell lengths 5.5317, 6.5021, 13.0834 Å; angles 100.12, 90.00, 90.00 degrees
Element x y z (fractional)
1 La 0.2500 0.5272 0.8159
2 La 0.2500 0.5945 0.4036
3 La 0.7500 0.4728 0.1841
4 La 0.7500 0.4055 0.5964
5 La 0.2500 0.9728 0.6841
6 La 0.2500 0.9055 0.0964
7 La 0.7500 0.0272 0.3159
8 La 0.7500 0.0945 0.9036
9 Ru 0.2500 0.0287 0.8734
10 Ru 0.7500 0.5287 0.3734
11 Ru 0.2500 0.4713 0.6266
12 Ru 0.7500 0.9713 0.1266
13 Hg 0.7500 0.8814 0.5436
14 Hg 0.2500 0.1186 0.4564
15 Hg 0.2500 0.3814 0.0436
16 Hg 0.7500 0.6186 0.9564

8.
The following is a DFT calculation (PBE) of a geometry-optimized Cs2UAuSe5 structure.

Space-group type   No. 36
Fermi-level density of states   6.7 states/eV/f.u.
Uncorrected formation energy   -0.84 eV/atom

Cell lengths 4.1934, 10.9764, 14.7660 Å; angles 90.00, 90.00, 101.01 degrees
Element x y z (fractional)
1 Cs 0.8748 0.7496 0.8215
2 Cs 0.8748 0.7496 0.1932
3 Cs 0.1252 0.2504 0.6932
4 Cs 0.1252 0.2504 0.3215
5 Se 0.4898 0.9795 0.2984
6 Se 0.7020 0.4041 0.8879
7 Se 0.5102 0.0205 0.7984
8 Se 0.2984 0.5968 0.6336
9 Se 0.0754 0.1507 0.0367
10 Se 0.9246 0.8493 0.5367
11 Se 0.7016 0.4032 0.1336
12 Se 0.3194 0.6389 0.0080
13 Se 0.2980 0.5959 0.3879
14 Se 0.6806 0.3611 0.5080
15 U 0.1995 0.3990 0.0120
16 U 0.8005 0.6010 0.5120
17 Au 0.4228 0.8456 0.4327
18 Au 0.5772 0.1544 0.9327

no.,spin magnetization (μB/atom)
1,0.41
2,0.00
3,0.00
4,0.00
5,0.00
6,0.00
7,0.00
8,0.01